Li3CO4: optimized geometry, PBE.

Geometry as POSCAR:
```
Li3CO4
1.0
-3.2089 -1.2271 2.7970
0.2555 -2.9162 -3.3251
3.8688 0.1256 2.1546
Li C O
3 1 4
Direct
0.5000 0.5000 0.0000
0.0000 0.5000 0.5000
0.5000 0.0000 0.5000
0.0000 0.0000 0.0000
0.6839 0.0000 0.0000
0.0000 0.0000 0.6839
0.3161 0.3161 0.3161
0.0000 0.6839 0.0000
```

SG = I-43m, No. 217
Total DFT energy (no corrections) = -5.821 eV per atom
Size of the total moment = 1.0 μB per cell
ΔE_f (raw) = -1472 meV per atom